Entry 1:
VASP calculation (PBE) on crystalline NpCoAs2Pd2 at its relaxed geometry.

Cell lengths 4.015, 7.587, 6.692 Å; angles 90.00, 90.00, 90.00 degrees
Space group Pmc2_1 (No. 26)
Unique sites:
Np (0.000, 0.050, 0.000) x2
Co (0.500, 0.150, 0.672) x2
As (0.000, 0.326, 0.698) x2
As (0.500, 0.158, 0.294) x2
Pd (0.000, 0.372, 0.320) x2
Pd (0.500, 0.377, 0.989) x2

Values from the calculation:
Theoretical density, g/cm³: 10.7
Formation energy, eV/atom: -0.367
DOS at the Fermi energy, states/eV per cell: 15.9

Entry 2:
VASP calculation (PBE) on crystalline Nd2CdAs4Pd3 at its relaxed geometry.

Cell lengths 4.311, 4.311, 11.018 Å; angles 90.00, 90.00, 90.00 degrees
Space group P-4m2 (No. 115)
Unique sites:
Nd (0.000, 0.500, 0.243) x2
Cd (0.000, 0.000, 0.500) x1
As (0.000, 0.000, 0.000) x1
As (0.000, 0.500, 0.650) x2
As (0.500, 0.500, 0.000) x1
Pd (0.000, 0.500, 0.872) x2
Pd (0.500, 0.500, 0.500) x1

Values from the calculation:
Theoretical density, g/cm³: 8.3
Formation energy, eV/atom: -0.743
DOS at the Fermi energy, states/eV per cell: 4.1

Entry 3:
VASP calculation (PBE) on crystalline ThSc2Pb at its relaxed geometry.

Cell lengths 7.406, 7.406, 7.406 Å; angles 90.00, 90.00, 90.00 degrees
Space group Fm-3m (No. 225)
Unique sites:
Th (0.000, 0.000, 0.000) x4
Sc (0.250, 0.250, 0.250) x8
Pb (0.000, 0.000, 0.500) x4

Values from the calculation:
Theoretical density, g/cm³: 8.7
Formation energy, eV/atom: -0.087
DOS at the Fermi energy, states/eV per cell: 23.6

Entry 4:
VASP calculation (PBE) on crystalline KAg2RhCl8 at its relaxed geometry.

Cell lengths 6.354, 7.291, 8.368 Å; angles 69.82, 68.64, 79.22 degrees
Space group P-1 (No. 2)
Unique sites:
K (0.000, 0.000, 0.000) x1
Ag (0.486, 0.325, 0.237) x2
Rh (0.000, 0.000, 0.500) x1
Cl (0.170, 0.727, 0.667) x2
Cl (0.192, 0.217, 0.543) x2
Cl (0.230, 0.555, 0.068) x2
Cl (0.307, 0.990, 0.233) x2

Values from the calculation:
Theoretical density, g/cm³: 3.2
Formation energy without anion corrections, eV per atom: -0.672
DOS at the Fermi energy, states/eV per cell: 8.8

Entry 5:
VASP calculation (PBE) on crystalline CaBeCd3 at its relaxed geometry.

Cell lengths 4.815, 4.815, 4.815 Å; angles 90.00, 90.00, 90.00 degrees
Space group Pm-3m (No. 221)
Unique sites:
Ca (0.000, 0.000, 0.000) x1
Be (0.500, 0.500, 0.500) x1
Cd (0.000, 0.500, 0.500) x3

Values from the calculation:
Theoretical density, g/cm³: 5.7
Formation energy, eV/atom: -0.003
DOS at the Fermi energy, states/eV per cell: 2.3

Entry 6:
VASP calculation (PBE) on crystalline Bi3Se3S at its relaxed geometry.

Cell lengths 8.814, 4.074, 11.754 Å; angles 90.00, 91.41, 90.00 degrees
Space group P2_1/m (No. 11)
Unique sites:
Bi (0.096, 0.250, 0.119) x2
Bi (0.160, 0.250, 0.613) x2
Bi (0.403, 0.750, 0.852) x2
Se (0.085, 0.250, 0.358) x2
Se (0.339, 0.750, 0.116) x2
Se (0.397, 0.750, 0.616) x2
S (0.171, 0.250, 0.854) x2

Values from the calculation:
Theoretical density, g/cm³: 7.1
Formation energy without anion corrections, eV per atom: -0.281
DOS at the Fermi energy, states/eV per cell: 4.5

Entry 7:
VASP calculation (PBE) on crystalline PrZrZnIr at its relaxed geometry.

Cell lengths 6.958, 6.958, 6.958 Å; angles 90.00, 90.00, 90.00 degrees
Space group F-43m (No. 216)
Unique sites:
Pr (0.000, 0.000, 0.000) x4
Zr (0.000, 0.000, 0.500) x4
Zn (0.250, 0.250, 0.750) x4
Ir (0.250, 0.250, 0.250) x4

Values from the calculation:
Theoretical density, g/cm³: 9.7
Formation energy, eV/atom: -0.337
DOS at the Fermi energy, states/eV per cell: 9.1

Entry 8:
VASP calculation (PBE) on crystalline Ti4PbC at its relaxed geometry.

Cell lengths 4.769, 3.085, 7.332 Å; angles 90.00, 107.56, 90.00 degrees
Space group P2/m (No. 10)
Unique sites:
Ti (0.090, 0.000, 0.237) x2
Ti (0.302, 0.500, 0.587) x2
Pb (0.500, 0.500, 0.000) x1
C (0.000, 0.000, 0.500) x1

Values from the calculation:
Theoretical density, g/cm³: 6.6
Formation energy, eV/atom: -0.254
DOS at the Fermi energy, states/eV per cell: 5.2

Entry 9:
VASP calculation (PBE) on crystalline Ac2Al3Zn4Ge at its relaxed geometry.

Cell lengths 4.477, 4.477, 10.687 Å; angles 90.00, 90.00, 90.00 degrees
Space group P-4m2 (No. 115)
Unique sites:
Ac (0.000, 0.500, 0.248) x2
Al (0.000, 0.500, 0.874) x2
Al (0.500, 0.500, 0.500) x1
Zn (0.000, 0.000, 0.000) x1
Zn (0.000, 0.500, 0.634) x2
Zn (0.500, 0.500, 0.000) x1
Ge (0.000, 0.000, 0.500) x1

Values from the calculation:
Theoretical density, g/cm³: 6.7
Formation energy, eV/atom: -0.388
DOS at the Fermi energy, states/eV per cell: 3.6

Entry 10:
VASP calculation (PBE) on crystalline HgPN2 at its relaxed geometry.

Cell lengths 5.148, 5.148, 7.602 Å; angles 90.00, 90.00, 90.00 degrees
Space group I-42d (No. 122)
Unique sites:
Hg (0.000, 0.000, 0.000) x4
P (0.000, 0.000, 0.500) x4
N (0.077, 0.250, 0.625) x8

Values from the calculation:
Theoretical density, g/cm³: 8.6
Formation energy without anion corrections, eV per atom: 0.248
DOS at the Fermi energy, states/eV per cell: 5.5

Entry 11:
VASP calculation (PBE) on crystalline NdTmSe2Cl at its relaxed geometry.

Cell lengths 4.150, 4.150, 14.040 Å; angles 90.00, 90.00, 90.00 degrees
Space group P4/nmm (No. 129, origin choice 2)
Unique sites:
Nd (0.250, 0.250, 0.147) x2
Tm (0.250, 0.250, 0.589) x2
Se (0.250, 0.250, 0.386) x2
Se (0.250, 0.250, 0.792) x2
Cl (0.250, 0.750, 0.000) x2

Values from the calculation:
Theoretical density, g/cm³: 7.0
Formation energy without anion corrections, eV per atom: -1.838
DOS at the Fermi energy, states/eV per cell: 3.2

Entry 12:
VASP calculation (PBE) on crystalline Y5Pt2Au2 at its relaxed geometry.

Cell lengths 15.356, 7.483, 7.709 Å; angles 90.00, 90.00, 90.00 degrees
Space group Cmce (No. 64)
Unique sites:
Y (0.000, 0.000, 0.000) x4
Y (0.133, 0.171, 0.329) x16
Pt (0.000, 0.130, 0.632) x8
Au (0.206, 0.000, 0.000) x8

Values from the calculation:
Theoretical density, g/cm³: 9.2
Formation energy, eV/atom: -0.966
DOS at the Fermi energy, states/eV per cell: 30.1

Entry 13:
VASP calculation (PBE) on crystalline Si2Te at its relaxed geometry.

Cell lengths 12.215, 3.952, 6.385 Å; angles 90.00, 107.52, 90.00 degrees
Space group C2/m (No. 12)
Unique sites:
Si (0.206, 0.000, 0.407) x4
Si (0.225, 0.500, 0.896) x4
Te (0.002, 0.500, 0.254) x4

Values from the calculation:
Theoretical density, g/cm³: 4.2
Formation energy without anion corrections, eV per atom: 0.235
DOS at the Fermi energy, states/eV per cell: 3.7